Entry 1:
DFT (PBE) results for a relaxed structure of HfGa3Co.

```
data_HfGa3Co
_space_group_name_H-M_alt 'P 1'
_space_group_IT_number 1
_space_group_name_Hall 'P 1'
_cell_length_a 4.456
_cell_length_b 4.456
_cell_length_c 4.456
_cell_angle_alpha 90.00
_cell_angle_beta 90.00
_cell_angle_gamma 90.00
loop_
_atom_site_label
_atom_site_type_symbol
_atom_site_fract_x
_atom_site_fract_y
_atom_site_fract_z
Hf1 Hf 0.000 0.000 0.000
Ga1 Ga 0.000 0.500 0.500
Ga2 Ga 0.500 0.000 0.500
Ga3 Ga 0.500 0.500 0.000
Co1 Co 0.500 0.500 0.500
```

Summary:
The offset from the most stable computed form comes out at 390 meV/atom. Its density of states at the Fermi level is 5.372 states/eV per cell.

Entry 2:
DFT (PBE) results for a relaxed structure of Hf2Ga3Co4.

```
data_Hf2Ga3Co4
_space_group_name_H-M_alt 'P 1'
_space_group_IT_number 1
_space_group_name_Hall 'P 1'
_cell_length_a 4.308
_cell_length_b 4.308
_cell_length_c 7.978
_cell_angle_alpha 97.95
_cell_angle_beta 97.95
_cell_angle_gamma 60.62
loop_
_atom_site_label
_atom_site_type_symbol
_atom_site_fract_x
_atom_site_fract_y
_atom_site_fract_z
Hf1 Hf 0.131 0.131 0.277
Hf2 Hf 0.869 0.869 0.723
Ga1 Ga 0.234 0.234 0.911
Ga2 Ga 0.500 0.500 0.500
Ga3 Ga 0.766 0.766 0.089
Co1 Co 0.184 0.184 0.603
Co2 Co 0.451 0.451 0.176
Co3 Co 0.549 0.549 0.824
Co4 Co 0.816 0.816 0.397
```

Summary:
The offset from the most stable computed form comes out at 0 meV/atom. Its density of states at the Fermi level is 3.959 states/eV per cell.

Entry 3:
DFT (PBE) results for a relaxed structure of HfGa2Co.

```
data_HfGa2Co
_space_group_name_H-M_alt 'P 1'
_space_group_IT_number 1
_space_group_name_Hall 'P 1'
_cell_length_a 3.006
_cell_length_b 3.006
_cell_length_c 6.720
_cell_angle_alpha 90.00
_cell_angle_beta 90.00
_cell_angle_gamma 90.00
loop_
_atom_site_label
_atom_site_type_symbol
_atom_site_fract_x
_atom_site_fract_y
_atom_site_fract_z
Hf1 Hf 0.000 0.000 0.000
Ga1 Ga 0.500 0.500 0.296
Ga2 Ga 0.500 0.500 0.704
Co1 Co 0.000 0.000 0.500
```

Summary:
Its density of states at the Fermi level is 3.030 states/eV per cell.

Entry 4:
DFT (PBE) results for a relaxed structure of Hf6GaCo.

```
data_Hf6GaCo
_space_group_name_H-M_alt 'P 1'
_space_group_IT_number 1
_space_group_name_Hall 'P 1'
_cell_length_a 6.030
_cell_length_b 6.030
_cell_length_c 6.003
_cell_angle_alpha 102.86
_cell_angle_beta 102.86
_cell_angle_gamma 119.88
loop_
_atom_site_label
_atom_site_type_symbol
_atom_site_fract_x
_atom_site_fract_y
_atom_site_fract_z
Hf1 Hf 0.031 0.431 0.242
Hf2 Hf 0.239 0.239 0.766
Hf3 Hf 0.431 0.031 0.242
Hf4 Hf 0.569 0.969 0.758
Hf5 Hf 0.761 0.761 0.234
Hf6 Hf 0.969 0.569 0.758
Ga1 Ga 0.500 0.500 0.500
Co1 Co 0.000 0.000 0.000
```

Summary:
Its density of states at the Fermi level is 7.921 states/eV per cell.

Entry 5:
DFT (PBE) results for a relaxed structure of Hf6Ga3Co.

```
data_Hf6Ga3Co
_space_group_name_H-M_alt 'P 1'
_space_group_IT_number 1
_space_group_name_Hall 'P 1'
_cell_length_a 5.456
_cell_length_b 7.668
_cell_length_c 10.730
_cell_angle_alpha 90.00
_cell_angle_beta 118.48
_cell_angle_gamma 90.00
loop_
_atom_site_label
_atom_site_type_symbol
_atom_site_fract_x
_atom_site_fract_y
_atom_site_fract_z
Hf1 Hf 0.051 0.166 0.441
Hf2 Hf 0.051 0.334 0.941
Hf3 Hf 0.342 0.687 0.438
Hf4 Hf 0.342 0.813 0.938
Hf5 Hf 0.411 0.045 0.261
Hf6 Hf 0.411 0.455 0.761
Hf7 Hf 0.589 0.545 0.239
Hf8 Hf 0.589 0.955 0.739
Hf9 Hf 0.658 0.187 0.062
Hf10 Hf 0.658 0.313 0.562
Hf11 Hf 0.949 0.666 0.059
Hf12 Hf 0.949 0.834 0.559
Ga1 Ga 0.000 0.000 0.000
Ga2 Ga 0.000 0.500 0.500
Ga3 Ga 0.147 0.117 0.758
Ga4 Ga 0.147 0.383 0.258
Ga5 Ga 0.853 0.617 0.742
Ga6 Ga 0.853 0.883 0.242
Co1 Co 0.500 0.000 0.500
Co2 Co 0.500 0.500 0.000
```

Summary:
Its density of states at the Fermi level is 16.226 states/eV per cell.

Entry 6:
DFT (PBE) results for a relaxed structure of Hf6GaCo2.

```
data_Hf6GaCo2
_space_group_name_H-M_alt 'P 1'
_space_group_IT_number 1
_space_group_name_Hall 'P 1'
_cell_length_a 7.659
_cell_length_b 7.659
_cell_length_c 7.659
_cell_angle_alpha 113.56
_cell_angle_beta 112.75
_cell_angle_gamma 102.33
loop_
_atom_site_label
_atom_site_type_symbol
_atom_site_fract_x
_atom_site_fract_y
_atom_site_fract_z
Hf1 Hf 0.035 0.235 0.800
Hf2 Hf 0.185 0.299 0.484
Hf3 Hf 0.185 0.701 0.886
Hf4 Hf 0.329 0.025 0.696
Hf5 Hf 0.329 0.633 0.304
Hf6 Hf 0.434 0.235 0.200
Hf7 Hf 0.566 0.765 0.800
Hf8 Hf 0.671 0.367 0.696
Hf9 Hf 0.671 0.975 0.304
Hf10 Hf 0.815 0.299 0.114
Hf11 Hf 0.815 0.701 0.516
Hf12 Hf 0.965 0.765 0.200
Ga1 Ga 0.000 0.000 0.000
Ga2 Ga 0.500 0.500 0.000
Co1 Co 0.131 0.631 0.500
Co2 Co 0.343 0.000 0.343
Co3 Co 0.657 0.000 0.657
Co4 Co 0.869 0.369 0.500
```

Summary:
Its density of states at the Fermi level is 17.763 states/eV per cell.

In eV per atom, the formation enthalpy at 0 K values for the records above are, in order, 0.092, -0.416, -0.326, 0.144, -0.236, -0.277.